No. 1
The following is a PBEsol calculation of an optimized crystal structure of Fe2NiRu, from Alexandria.

Computed properties:
Energy relative to the elements   96 meV per atom

abc: 4.334 4.334 4.334
angles: 131.54 131.54 70.96
Atoms (fractional coordinates):
Fe (0.000, 0.000, 0.000)
Fe (0.750, 0.250, 0.500)
Ni (0.500, 0.500, 0.000)
Ru (0.250, 0.750, 0.500)

***

No. 2
The following is a PBEsol calculation of an optimized crystal structure of MnCrFe2, from Alexandria.

Computed properties:
Energy relative to the elements   75 meV per atom

abc: 3.944 3.944 3.944
angles: 60.00 60.00 60.00
Atoms (fractional coordinates):
Mn (0.000, 0.000, 0.000)
Cr (0.250, 0.250, 0.250)
Fe (0.500, 0.500, 0.500)
Fe (0.750, 0.750, 0.750)

***

No. 3
The following is a PBEsol calculation of an optimized crystal structure of LiAg, from Alexandria.

Computed properties:
Energy relative to the elements   -172 meV per atom

abc: 4.484 4.484 4.484
angles: 60.00 60.00 60.00
Atoms (fractional coordinates):
Li (0.125, 0.125, 0.125)
Li (0.875, 0.875, 0.875)
Ag (0.375, 0.375, 0.375)
Ag (0.625, 0.625, 0.625)

***

No. 4
The following is a PBEsol calculation of an optimized crystal structure of CdRuOF2, from Alexandria.

Computed properties:
Energy relative to the elements, uncorrected   -137 meV per atom

abc: 4.227 4.227 4.239
angles: 90.00 90.00 90.00
Atoms (fractional coordinates):
Cd (0.000, 0.000, 0.000)
Ru (0.500, 0.500, 0.500)
O (0.000, 0.000, 0.500)
F (0.000, 0.500, 0.000)
F (0.500, 0.000, 0.000)

***

No. 5
The following is a PBEsol calculation of an optimized crystal structure of LiYTe2, from Alexandria.

Computed properties:
Energy relative to the elements, uncorrected   -1226 meV per atom

abc: 4.303 4.303 5.950
angles: 90.00 90.00 90.00
Atoms (fractional coordinates):
Li (0.000, 0.000, 0.000)
Y (0.500, 0.500, 0.500)
Te (0.000, 0.000, 0.500)
Te (0.500, 0.500, 0.000)

***

No. 6
The following is a PBEsol calculation of an optimized crystal structure of Y2NiTe, from Alexandria.

Computed properties:
Energy relative to the elements, uncorrected   -617 meV per atom

abc: 4.059 4.059 6.180
angles: 90.00 90.00 90.00
Atoms (fractional coordinates):
Y (0.000, 0.000, 0.000)
Y (0.500, 0.500, 0.379)
Ni (0.000, 0.000, 0.409)
Te (0.500, 0.500, 0.863)

***

No. 7
The following is a PBEsol calculation of an optimized crystal structure of SrCdB2O5, from Alexandria.

Computed properties:
Energy relative to the elements, uncorrected   -2357 meV per atom

abc: 6.350 6.350 11.144
angles: 95.65 95.65 106.09
Atoms (fractional coordinates):
Sr (0.132, 0.868, 0.750)
Sr (0.317, 0.683, 0.250)
Sr (0.683, 0.317, 0.750)
Sr (0.868, 0.132, 0.250)
Cd (0.238, 0.435, 0.557)
Cd (0.435, 0.238, 0.057)
Cd (0.565, 0.762, 0.943)
Cd (0.762, 0.565, 0.443)
B (0.043, 0.771, 0.995)
B (0.174, 0.369, 0.831)
B (0.229, 0.957, 0.505)
B (0.369, 0.174, 0.331)
B (0.631, 0.826, 0.669)
B (0.771, 0.043, 0.495)
B (0.826, 0.631, 0.169)
B (0.957, 0.229, 0.005)
O (0.005, 0.770, 0.119)
O (0.112, 0.471, 0.739)
O (0.124, 0.315, 0.098)
O (0.132, 0.743, 0.526)
O (0.230, 0.995, 0.381)
O (0.257, 0.868, 0.974)
O (0.315, 0.124, 0.598)
O (0.373, 0.386, 0.373)
O (0.386, 0.373, 0.873)
O (0.471, 0.112, 0.239)
O (0.529, 0.888, 0.761)
O (0.614, 0.627, 0.127)
O (0.627, 0.614, 0.627)
O (0.685, 0.876, 0.402)
O (0.743, 0.132, 0.026)
O (0.770, 0.005, 0.619)
O (0.868, 0.257, 0.474)
O (0.876, 0.685, 0.902)
O (0.888, 0.529, 0.261)
O (0.995, 0.230, 0.881)

***

No. 8
The following is a PBEsol calculation of an optimized crystal structure of Nb2SnHBr, from Alexandria.

abc: 4.706 4.706 5.563
angles: 90.00 90.00 90.00
Atoms (fractional coordinates):
Nb (0.000, 0.500, 0.000)
Nb (0.500, 0.000, 0.000)
Sn (0.000, 0.000, 0.500)
H (0.500, 0.500, 0.500)
Br (0.000, 0.000, 0.000)

***

No. 9
The following is a PBEsol calculation of an optimized crystal structure of Zr2CrTe, from Alexandria.

Computed properties:
Energy relative to the elements, uncorrected   -164 meV per atom

abc: 3.517 3.517 6.177
angles: 90.00 90.81 90.00
Atoms (fractional coordinates):
Zr (0.006, 0.000, 0.267)
Zr (0.994, 0.000, 0.733)
Cr (0.500, 0.500, 0.500)
Te (0.500, 0.500, 0.000)

***

No. 10
The following is a PBEsol calculation of an optimized crystal structure of LiFe3Os, from Alexandria.

Computed properties:
Energy relative to the elements   1395 meV per atom

abc: 4.498 4.498 4.498
angles: 90.00 90.00 90.00
Atoms (fractional coordinates):
Li (0.000, 0.000, 0.000)
Fe (0.000, 0.500, 0.500)
Fe (0.500, 0.000, 0.500)
Fe (0.500, 0.500, 0.000)
Os (0.500, 0.500, 0.500)

***

No. 11
The following is a PBEsol calculation of an optimized crystal structure of Co21Ge2B6, from Alexandria.

Computed properties:
Energy relative to the elements   -259 meV per atom

abc: 7.280 7.280 7.280
angles: 60.00 60.00 60.00
Atoms (fractional coordinates):
Co (0.000, 0.000, 0.000)
Co (0.000, 0.000, 0.335)
Co (0.000, 0.000, 0.665)
Co (0.000, 0.335, 0.000)
Co (0.000, 0.335, 0.665)
Co (0.000, 0.665, 0.000)
Co (0.000, 0.665, 0.335)
Co (0.141, 0.620, 0.620)
Co (0.335, 0.000, 0.000)
Co (0.335, 0.000, 0.665)
Co (0.335, 0.665, 0.000)
Co (0.380, 0.380, 0.380)
Co (0.380, 0.380, 0.859)
Co (0.380, 0.859, 0.380)
Co (0.620, 0.141, 0.620)
Co (0.620, 0.620, 0.141)
Co (0.620, 0.620, 0.620)
Co (0.665, 0.000, 0.000)
Co (0.665, 0.000, 0.335)
Co (0.665, 0.335, 0.000)
Co (0.859, 0.380, 0.380)
Ge (0.250, 0.250, 0.250)
Ge (0.750, 0.750, 0.750)
B (0.278, 0.278, 0.722)
B (0.278, 0.722, 0.278)
B (0.278, 0.722, 0.722)
B (0.722, 0.278, 0.278)
B (0.722, 0.278, 0.722)
B (0.722, 0.722, 0.278)

***

No. 12
The following is a PBEsol calculation of an optimized crystal structure of FePHO2, from Alexandria.

abc: 3.387 3.387 4.887
angles: 90.00 90.00 90.00
Atoms (fractional coordinates):
Fe (0.000, 0.000, 0.000)
P (0.000, 0.000, 0.500)
H (0.500, 0.500, 0.500)
O (0.000, 0.500, 0.000)
O (0.500, 0.000, 0.000)

***

| no. | energy (eV per atom) |
| --- | --- |
| 1 | -8.468 |
| 2 | -9.407 |
| 3 | -2.811 |
| 4 | -4.232 |
| 5 | -5.186 |
| 6 | -6.449 |
| 7 | -7.170 |
| 8 | -4.432 |
| 9 | -8.151 |
| 10 | -6.820 |
| 11 | -7.654 |
| 12 | -5.705 |